1.
First-principles (PBE) data for a relaxed KBaNi2 crystal, as listed in Alexandria via LeMat-Bulk.

a b c (Å): 4.1005 4.1005 26.0438
angles (deg): 90.00 90.00 120.00
Positions (direct):
K: 0.0000 0.0000 0.0000
K: 0.3333 0.6667 0.6667
K: 0.6667 0.3333 0.3333
Ba: 0.0000 0.0000 0.5000
Ba: 0.3333 0.6667 0.1667
Ba: 0.6667 0.3333 0.8333
Ni: 0.0000 0.0000 0.2434
Ni: 0.0000 0.0000 0.7566
Ni: 0.3333 0.6667 0.4233
Ni: 0.3333 0.6667 0.9100
Ni: 0.6667 0.3333 0.0900
Ni: 0.6667 0.3333 0.5767

Results
Polymorph energy (0 for the lowest one)   607.1 meV/atom
Raw total energy   -2.85 eV/atom
ΔH_f (0 K)   77.0 kJ/mol of atoms

---

2.
First-principles (PBE) data for a relaxed KBaNi2 crystal, as listed in Alexandria via LeMat-Bulk.

a b c (Å): 8.3218 8.3218 6.1458
angles (deg): 90.00 90.00 90.00
Positions (direct):
K: 0.0000 0.0000 0.0000
K: 0.0000 0.5000 0.2500
K: 0.5000 0.0000 0.7500
K: 0.5000 0.5000 0.5000
Ba: 0.0000 0.0000 0.5000
Ba: 0.0000 0.5000 0.7500
Ba: 0.5000 0.0000 0.2500
Ba: 0.5000 0.5000 0.0000
Ni: 0.2437 0.7500 0.6250
Ni: 0.2500 0.2437 0.3750
Ni: 0.2500 0.2563 0.8750
Ni: 0.2563 0.7500 0.1250
Ni: 0.7437 0.2500 0.1250
Ni: 0.7500 0.7437 0.8750
Ni: 0.7500 0.7563 0.3750
Ni: 0.7563 0.2500 0.6250

Results
Polymorph energy (0 for the lowest one)   568.7 meV/atom
Raw total energy   -2.89 eV/atom
ΔH_f (0 K)   73.3 kJ/mol of atoms

---

3.
First-principles (PBE) data for a relaxed KBaNi3 crystal, as listed in Alexandria via LeMat-Bulk.

a b c (Å): 5.0309 5.0309 5.0309
angles (deg): 90.00 90.00 90.00
Positions (direct):
K: 0.0000 0.0000 0.0000
Ba: 0.5000 0.5000 0.5000
Ni: 0.0000 0.0000 0.5000
Ni: 0.0000 0.5000 0.0000
Ni: 0.5000 0.0000 0.0000

Results
Polymorph energy (0 for the lowest one)   0.0 meV/atom
Raw total energy   -2.68 eV/atom
ΔH_f (0 K)   134.5 kJ/mol of atoms

---

polymorph energy (0 for the lowest one) of number 2 (KBaNi2)? 568.7 meV/atom

---

Look up the ΔH_f (0 K) of the second one. 73.3 kJ/mol of atoms

---

Which formula does entry 3 have? KBaNi3